(1)
## NpTiNb2 (GGA-PBE)

Data for a relaxed NpTiNb2 crystal.

```
4
Lattice="-0.540 -3.093 0.997 4.253 -1.289 -1.699 1.985 1.008 4.204" Properties=species:S:1:pos:R:3 pbc="T T T"
Nb 2.126 -0.645 -0.849
Nb 0.993 0.504 2.102
Ti -0.270 -1.547 0.498
Np 2.849 -1.687 1.751
```

Results
- Total magnetization: 3.776 μB/cell
- Energy above the most stable polymorph in this dataset: 4.5 kJ/mol of atoms
- Energy relative to the elements: 0.2492 eV per atom
- Space-group type: P4/mmm



(2)
## Ca3Ac12Dy (GGA-PBE)

Data for a relaxed Ca3Ac12Dy crystal.

```
16
Lattice="5.570 0.000 0.000 0.000 5.570 0.000 0.000 0.000 22.298" Properties=species:S:1:pos:R:3 pbc="T T T"
Ca 0.000 0.000 11.149
Ca 0.000 0.000 5.526
Ca 0.000 0.000 16.772
Ac 0.000 2.785 13.963
Ac 0.000 2.785 19.611
Ac 0.000 2.785 8.335
Ac 2.785 2.785 5.525
Ac 2.785 0.000 13.963
Ac 0.000 2.785 2.686
Ac 2.785 2.785 0.000
Ac 2.785 2.785 11.149
Ac 2.785 0.000 2.686
Ac 2.785 0.000 19.611
Ac 2.785 2.785 16.773
Ac 2.785 0.000 8.335
Dy 0.000 0.000 0.000
```

Results
- Total magnetization: 0.000 μB/cell
- Energy relative to the elements: 0.0258 eV per atom
- Space-group type: P4/mmm



(3)
## Pm2FeC2 (GGA-PBE)

Data for a relaxed Pm2FeC2 crystal.

```
10
Lattice="5.242 0.000 0.000 -2.621 5.565 -0.332 0.000 -3.343 5.971" Properties=species:S:1:pos:R:3 pbc="T T T"
Fe 0.000 1.234 4.939
Fe 2.621 0.987 0.700
C 2.621 -2.540 4.798
C 0.000 0.025 3.526
C 2.621 2.196 2.113
C 0.000 4.761 0.841
Pm 2.621 4.362 0.955
Pm 2.621 0.002 3.552
Pm 0.000 -2.141 4.684
Pm 0.000 2.219 2.087
```

Results
- Total magnetization: 1.489 μB/cell
- Energy relative to the elements: -0.1660 eV per atom
- Space-group type: C2/m



(4)
## CaPrGa2 (GGA-PBE)

Data for a relaxed CaPrGa2 crystal.

```
4
Lattice="-3.863 -0.876 2.077 -0.207 -3.751 -1.968 4.768 -1.953 3.222" Properties=species:S:1:pos:R:3 pbc="T T T"
Ga 3.338 -3.663 2.062
Ga 2.639 -1.111 1.841
Ca 1.907 -2.561 4.682
Pr 0.204 -3.086 1.292
```

Results
- Total magnetization: 0.000 μB/cell
- Energy relative to the elements: -0.5241 eV per atom
- Space-group type: Amm2



(5)
## ZrOsS2N (GGA-PBE)

Data for a relaxed ZrOsS2N crystal.

```
5
Lattice="-0.338 2.901 4.107 1.239 -3.941 2.886 3.877 0.957 -0.357" Properties=species:S:1:pos:R:3 pbc="T T T"
Zr 0.000 0.000 0.000
N 1.939 0.479 -0.179
S 0.619 -1.971 1.443
S -0.169 1.451 2.053
Os 2.389 -0.042 3.318
```

Results
- Total magnetization: 4.566 μB/cell
- Energy above the most stable polymorph in this dataset: 89.5 kJ/mol of atoms
- Formation energy (no corrections): 964 meV/atom
- Space-group type: P4/mmm



(6)
## BaLiZn10 (GGA-PBE)

Data for a relaxed BaLiZn10 crystal.

```
12
Lattice="-0.658 4.376 -0.468 -4.667 -0.914 -1.987 -3.881 0.373 8.944" Properties=species:S:1:pos:R:3 pbc="T T T"
Ba -4.274 -0.270 3.479
Zn -4.420 2.238 5.982
Zn -2.269 2.375 4.238
Zn -2.662 1.731 -1.227
Zn -2.472 2.051 1.493
Zn -1.072 0.103 2.472
Zn -6.734 1.785 4.997
Zn -5.659 -0.137 6.672
Zn -2.809 0.270 6.473
Zn -2.888 -0.404 0.286
Zn -4.786 1.598 0.508
Li 0.000 0.000 0.000
```

Results
- Total magnetization: 0.000 μB/cell
- Energy relative to the elements: -0.0951 eV per atom
- Space-group type: Pmmm



(7)
## KYPbF6 (GGA-PBE)

Data for a relaxed KYPbF6 crystal.

```
9
Lattice="6.413 0.001 0.000 3.207 5.554 0.000 0.000 0.000 5.147" Properties=species:S:1:pos:R:3 pbc="T T T"
F 1.318 1.935 1.430
F 2.335 0.174 3.717
F 4.078 0.174 1.430
F 2.189 3.445 3.717
F 5.096 1.936 3.717
F 4.224 3.445 1.430
Y 3.207 1.852 2.574
K 6.413 0.001 5.147
Pb 6.413 3.703 2.573
```

Results
- Total magnetization: 0.000 μB/cell
- Formation energy (no corrections): -3213 meV/atom
- Space-group type: P312



(8)
## RbZn2Br (GGA-PBE)

Data for a relaxed RbZn2Br crystal.

```
4
Lattice="1.629 -0.158 5.643 2.279 4.786 2.535 -3.095 2.944 4.035" Properties=species:S:1:pos:R:3 pbc="T T T"
Br 0.000 0.000 0.000
Zn 0.610 5.678 9.160
Zn 0.203 1.893 3.053
Rb 0.406 3.785 6.107
```

Results
- Total magnetization: 0.000 μB/cell
- Energy above the most stable polymorph in this dataset: 7.0 kJ/mol of atoms
- Formation energy (no corrections): -203 meV/atom
- Space-group type: Fm-3m



(9)
## Pu2FeAg (GGA-PBE)

Data for a relaxed Pu2FeAg crystal.

```
4
Lattice="4.677 0.000 0.000 0.000 4.200 0.000 0.000 0.000 4.200" Properties=species:S:1:pos:R:3 pbc="T T T"
Pu 0.000 0.000 2.100
Pu 0.000 2.100 0.000
Fe 2.339 2.100 2.100
Ag 2.339 0.000 0.000
```

Results
- Total magnetization: 13.842 μB/cell
- Energy above the most stable polymorph in this dataset: 38.8 kJ/mol of atoms
- Energy relative to the elements: 0.4368 eV per atom
- Space-group type: P4/mmm



(10)
## CrCoBr (GGA-PBE)

Data for a relaxed CrCoBr crystal.

```
3
Lattice="3.319 0.000 0.000 -1.659 2.874 0.000 0.000 0.000 5.347" Properties=species:S:1:pos:R:3 pbc="T T T"
Br 0.000 0.000 5.270
Co 1.659 0.958 2.070
Cr 0.000 1.916 3.354
```

Results
- Total magnetization: 1.990 μB/cell
- Energy above the most stable polymorph in this dataset: 0.0 kJ/mol of atoms
- Formation energy (no corrections): 538 meV/atom
- Space-group type: P3m1



(11)
## CeHfZr4 (GGA-PBE)

Data for a relaxed CeHfZr4 crystal.

```
24
Lattice="-1.256 9.407 0.953 -0.008 -0.531 5.231 11.349 1.498 0.170" Properties=species:S:1:pos:R:3 pbc="T T T"
Zr 3.083 2.509 4.223
Zr 10.432 3.608 1.704
Zr 8.451 6.358 4.623
Zr 7.711 1.739 1.510
Zr 4.373 6.041 1.942
Zr 0.452 0.472 4.012
Zr 9.632 9.901 2.342
Zr 8.785 3.049 4.287
Zr 7.002 7.865 2.131
Zr 4.750 2.917 1.625
Zr 1.633 4.016 1.732
Zr -0.347 6.766 4.650
Zr 2.373 8.635 4.844
Zr 5.335 7.456 4.730
Zr 5.711 4.332 4.413
Zr 1.299 7.325 2.067
Hf 5.998 1.243 4.099
Hf -0.082 3.529 4.322
Hf 10.166 6.845 2.032
Hf 4.086 9.131 2.255
Ce 2.204 0.907 1.417
Ce 7.447 4.888 1.829
Ce 7.880 9.467 4.938
Ce 2.637 5.485 4.525
```

Results
- Total magnetization: 0.000 μB/cell
- Energy relative to the elements: 0.0717 eV per atom
- Space-group type: Pnma



(12)
## TaReHg3 (GGA-PBE)

Data for a relaxed TaReHg3 crystal.

```
5
Lattice="-4.153 -0.881 2.980 -1.361 -3.957 -3.065 2.794 -3.236 2.937" Properties=species:S:1:pos:R:3 pbc="T T T"
Hg 1.397 -1.618 1.468
Hg -2.076 -0.440 1.490
Hg -0.680 -1.978 -1.533
Re 0.000 0.000 0.000
Ta -1.360 -4.037 1.426
```

Results
- Total magnetization: 2.100 μB/cell
- Energy above the most stable polymorph in this dataset: 0.0 kJ/mol of atoms
- Energy relative to the elements: 1.8925 eV per atom
- Space-group type: Pm-3m